# Hf2NbMoI (GGA-PBEsol, relaxed)
# ρ: 9.110 g/cm³
# electronic total energy: -38.3 eV per formula unit
# crystal system: tetragonal
data_Hf2NbMoI
_chemical_formula_sum 'Hf2 Nb1 Mo1 I1'
_space_group_name_H-M_alt 'P 4/m m m'
_space_group_IT_number 123
_space_group_name_Hall '-P 4 2'
_cell_length_a 4.922
_cell_length_b 4.922
_cell_length_c 5.062
_cell_angle_alpha 90.00
_cell_angle_beta 90.00
_cell_angle_gamma 90.00
loop_
_atom_site_label
_atom_site_type_symbol
_atom_site_fract_x
_atom_site_fract_y
_atom_site_fract_z
_atom_site_occupancy
Hf1 Hf 0.000 0.500 0.000 1
Nb1 Nb 0.000 0.000 0.500 1
Mo1 Mo 0.500 0.500 0.000 1
I1 I 0.500 0.500 0.500 1